Record 1
## Sr2Tl6Pb (PBE)

Data for Sr2Tl6Pb after structural relaxation.

Cell: 7.072 7.072 6.841 Å, 90.08 90.08 60.00°
Positions (direct):
Sr1 0.167 0.167 0.346
Sr2 0.833 0.833 0.654
Tl1 0.140 0.680 0.168
Tl2 0.320 0.320 0.829
Tl3 0.320 0.860 0.832
Tl4 0.680 0.140 0.168
Tl5 0.680 0.680 0.171
Tl6 0.860 0.320 0.832
Pb1 0.500 0.500 0.500

Results
- space group = C2/m, No. 12
- energy of formation (eV/atom) = -0.19
- N(E_F) (states/eV per cell) = 5.29
- ΔE to the lowest computed polymorph (eV per atom) = 0.0000
- DFT total energy (eV/atom) = -2.56

Record 2
## LaGdO (PBE)

Data for LaGdO after structural relaxation.

Cell: 3.673 3.673 6.060 Å, 90.00 90.00 120.00°
Positions (direct):
La1 0.000 0.000 0.000
Gd1 0.333 0.667 0.456
O1 0.667 0.333 0.259

Results
- space group = P3m1, No. 156
- N(E_F) (states/eV per cell) = 2.13
- DFT total energy (eV/atom) = -9.74
- formation energy from raw total energies (eV per atom) = -1.755

Record 3
## Mg5TlIn2Ag2 (PBE)

Data for Mg5TlIn2Ag2 after structural relaxation.

Cell: 12.028 12.028 3.219 Å, 90.00 90.00 90.00°
Positions (direct):
Mg1 0.000 0.500 0.000
Mg2 0.021 0.215 0.000
Mg3 0.215 0.979 0.000
Mg4 0.285 0.479 0.000
Mg5 0.479 0.715 0.000
Mg6 0.500 0.000 0.000
Mg7 0.521 0.285 0.000
Mg8 0.715 0.521 0.000
Mg9 0.785 0.021 0.000
Mg10 0.979 0.785 0.000
Tl1 0.000 0.000 0.500
Tl2 0.500 0.500 0.500
In1 0.194 0.694 0.500
In2 0.306 0.194 0.500
In3 0.694 0.806 0.500
In4 0.806 0.306 0.500
Ag1 0.133 0.367 0.500
Ag2 0.367 0.867 0.500
Ag3 0.633 0.133 0.500
Ag4 0.867 0.633 0.500

Results
- space group = P4/mbm, No. 127
- energy of formation (eV/atom) = -0.04
- N(E_F) (states/eV per cell) = 7.83
- DFT total energy (eV/atom) = -2.19

Record 4
## LiHgPtPb (PBE)

Data for LiHgPtPb after structural relaxation.

Cell: 4.799 4.799 4.799 Å, 60.00 60.00 60.00°
Positions (direct):
Li1 0.000 0.000 0.000
Hg1 0.250 0.250 0.250
Pt1 0.500 0.500 0.500
Pb1 0.750 0.750 0.750

Results
- space group = F-43m, No. 216
- energy of formation (eV/atom) = -0.27
- N(E_F) (states/eV per cell) = 1.07
- DFT total energy (eV/atom) = -3.27

What is the formula in the third record? Mg5TlIn2Ag2